Record 1
The following is a GGA-PBEsol calculation of a geometry-optimized Cu2AsPb structure, from Alexandria.

The structure in POSCAR format:
```
Cu2AsPb
1.0
-2.7604 -0.6480 -1.3233
1.4401 -1.7805 -2.1323
-0.7209 -5.7651 4.3269
As Cu Pb
1 2 1
Direct
0.5000 0.5000 0.8401
0.0000 0.0000 0.0181
0.5000 0.5000 0.1872
0.0000 0.0000 0.4545
```

Values from the calculation:
As for the space-group type: No. 99. Its density of states at the Fermi level is 1.914 states/eV/cell.

=====

Record 2
The following is a GGA-PBEsol calculation of a geometry-optimized Cu2As2Pb structure, from Alexandria.

The structure in POSCAR format:
```
Cu2As2Pb
1.0
-2.6210 -3.2315 -0.9135
2.9302 -1.6348 -2.6245
1.7849 -0.2191 5.5864
Pb As Cu
1 2 2
Direct
0.0000 0.0000 0.0000
0.3735 0.3735 0.7470
0.6265 0.6265 0.2530
0.2500 0.7500 0.5000
0.7500 0.2500 0.5000
```

Values from the calculation:
As for the space-group type: No. 139. Its density of states at the Fermi level is 1.097 states/eV/cell.

=====

Record 3
The following is a GGA-PBEsol calculation of a geometry-optimized CuAs2Pb structure, from Alexandria.

The structure in POSCAR format:
```
CuAs2Pb
1.0
3.7545 0.0000 0.0000
0.0000 4.2945 -0.0083
0.0000 -1.8418 5.1103
Pb As Cu
1 2 1
Direct
0.5000 0.5000 0.0000
0.0000 0.2254 0.3256
0.0000 0.7746 0.6744
0.5000 0.0000 0.5000
```

Values from the calculation:
As for the space-group type: No. 10. Its density of states at the Fermi level is 1.757 states/eV/cell.

=====

Record 4
The following is a GGA-PBEsol calculation of a geometry-optimized CuAs2Pb structure, from Alexandria.

The structure in POSCAR format:
```
CuAs2Pb
1.0
3.8520 0.0000 0.0000
0.0000 4.6935 0.0195
0.0000 -1.4121 4.4761
As Cu Pb
2 1 1
Direct
0.0000 0.5000 0.0000
0.0000 0.0000 0.5000
0.5000 0.0000 0.0000
0.5000 0.5000 0.5000
```

Values from the calculation:
As for the space-group type: No. 65. Its density of states at the Fermi level is 1.885 states/eV/cell.

=====

Record 5
The following is a GGA-PBEsol calculation of a geometry-optimized CuAs2Pb structure, from Alexandria.

The structure in POSCAR format:
```
CuAs2Pb
1.0
-1.6841 -2.5744 0.3275
4.0854 -2.9015 -1.7999
0.4287 2.2438 5.2312
As Cu Pb
2 1 1
Direct
0.6988 0.6988 0.3977
0.3012 0.3012 0.6023
0.0000 0.5000 0.0000
0.5000 0.0000 0.0000
```

Values from the calculation:
As for the space-group type: No. 71. Its density of states at the Fermi level is 1.735 states/eV/cell.

=====

Record 6
The following is a GGA-PBEsol calculation of a geometry-optimized CuAsPt2Pb structure, from Alexandria.

The structure in POSCAR format:
```
CuAsPt2Pb
1.0
-0.9294 1.0695 -4.2176
-0.4548 -4.5910 -1.0640
-4.6078 0.2088 1.0683
Pb As Cu Pt
1 1 1 2
Direct
0.5000 0.5000 0.5000
0.0000 0.0000 0.0000
0.5000 0.0000 0.0000
0.0000 0.0000 0.5000
0.0000 0.5000 0.0000
```

Values from the calculation:
As for the space-group type: No. 123. Its density of states at the Fermi level is 1.186 states/eV/cell.

=====

Record 7
The following is a GGA-PBEsol calculation of a geometry-optimized CuAsPbS3 structure, from Alexandria.

The structure in POSCAR format:
```
CuAsPbS3
1.0
7.5735 0.0000 0.0000
0.0000 7.9606 0.0000
0.0000 0.0000 8.6752
Cu As Pb S
4 4 4 12
Direct
0.7403 0.7786 0.4304
0.2403 0.2214 0.9304
0.7597 0.2214 0.9304
0.2597 0.7786 0.4304
0.5000 0.4348 0.5760
0.0000 0.0034 0.6616
0.5000 0.9966 0.1616
0.0000 0.5652 0.0760
0.5000 0.5805 0.9961
0.0000 0.4195 0.4961
0.0000 0.0609 0.1922
0.5000 0.9391 0.6922
0.5000 0.7448 0.2845
0.2262 0.0599 0.4937
0.7262 0.9401 0.9937
0.7738 0.0599 0.4937
0.7696 0.3924 0.1432
0.2304 0.3924 0.1432
0.2696 0.6076 0.6432
0.2738 0.9401 0.9937
0.0000 0.2552 0.7845
0.5000 0.2782 0.8001
0.0000 0.7218 0.3001
0.7304 0.6076 0.6432
```

Values from the calculation:
As for the space-group type: No. 31.

=====

Record 8
The following is a GGA-PBEsol calculation of a geometry-optimized YCuAs2Pb structure, from Alexandria.

The structure in POSCAR format:
```
YCuAs2Pb
1.0
4.7514 0.0000 0.0000
0.0000 4.7514 0.0000
0.0000 0.0000 5.0469
Pb Y As Cu
1 1 2 1
Direct
0.0000 0.0000 0.5000
0.5000 0.5000 0.5000
0.0000 0.5000 0.0000
0.5000 0.0000 0.0000
0.0000 0.0000 0.0000
```

Values from the calculation:
As for the space-group type: No. 123. Its density of states at the Fermi level is 2.907 states/eV/cell.

=====

Record 9
The following is a GGA-PBEsol calculation of a geometry-optimized CuAsPt3 structure, from Alexandria.

The structure in POSCAR format:
```
CuAsPt3
1.0
-0.9616 2.4306 -3.7474
-0.6315 -3.8687 -2.3472
-4.4217 0.0240 1.1501
As Cu Pt
1 1 3
Direct
0.0000 0.0000 0.0000
0.5000 0.5000 0.5000
0.0000 0.5000 0.0000
0.0000 0.0000 0.5000
0.5000 0.0000 0.0000
```

Values from the calculation:
As for the space-group type: No. 221. Its density of states at the Fermi level is 4.125 states/eV/cell.

=====

Record 10
The following is a GGA-PBEsol calculation of a geometry-optimized Cu3AsPt structure, from Alexandria.

The structure in POSCAR format:
```
Cu3AsPt
1.0
4.5819 0.0000 0.0000
0.0000 4.5819 0.0000
0.0000 0.0000 4.5819
As Cu Pt
1 3 1
Direct
0.5000 0.5000 0.5000
0.0000 0.5000 0.0000
0.0000 0.0000 0.5000
0.5000 0.0000 0.0000
0.0000 0.0000 0.0000
```

Values from the calculation:
As for the space-group type: No. 221. Its density of states at the Fermi level is 5.702 states/eV/cell.

=====

Record 11
The following is a GGA-PBEsol calculation of a geometry-optimized RbCuReAs2 structure, from Alexandria.

The structure in POSCAR format:
```
RbCuReAs2
1.0
4.7041 0.0000 0.0000
0.0000 4.7041 0.0000
0.0000 0.0000 6.3322
Re As Cu Rb
1 2 1 1
Direct
0.0000 0.0000 0.0000
0.0000 0.5000 0.0000
0.5000 0.0000 0.0000
0.5000 0.5000 0.5000
0.0000 0.0000 0.5000
```

Values from the calculation:
As for the space-group type: No. 123. Its density of states at the Fermi level is 3.704 states/eV/cell.

=====

Record 12
The following is a GGA-PBEsol calculation of a geometry-optimized CuReAs2 structure, from Alexandria.

The structure in POSCAR format:
```
CuReAs2
1.0
2.7624 -0.0329 0.0000
-1.1796 2.4981 0.0000
0.0000 0.0000 9.4172
As Cu Re
2 1 1
Direct
0.0000 0.0000 0.0410
0.5000 0.5000 0.7042
0.0000 0.0000 0.4910
0.5000 0.5000 0.2639
```

Values from the calculation:
As for the space-group type: No. 35. Its density of states at the Fermi level is 2.889 states/eV/cell.

=====

Record 13
The following is a GGA-PBEsol calculation of a geometry-optimized CuRe3As structure, from Alexandria.

The structure in POSCAR format:
```
CuRe3As
1.0
4.4299 0.0000 0.0000
0.0000 4.4299 0.0000
0.0000 0.0000 4.4299
Re As Cu
3 1 1
Direct
0.0000 0.5000 0.0000
0.0000 0.0000 0.5000
0.5000 0.0000 0.0000
0.5000 0.5000 0.5000
0.0000 0.0000 0.0000
```

Values from the calculation:
As for the space-group type: No. 221. Its density of states at the Fermi level is 8.023 states/eV/cell.

=====

Record 14
The following is a GGA-PBEsol calculation of a geometry-optimized CuReAs2 structure, from Alexandria.

The structure in POSCAR format:
```
CuReAs2
1.0
3.5264 0.0000 0.0000
0.0000 4.4917 0.0000
-1.7632 -2.2459 3.6711
As Cu Re
2 1 1
Direct
0.7739 0.7739 0.5478
0.2261 0.2261 0.4522
0.5000 0.0000 0.0000
0.0000 0.5000 0.0000
```

Values from the calculation:
As for the space-group type: No. 71. Its density of states at the Fermi level is 2.354 states/eV/cell.

=====

Record 15
The following is a GGA-PBEsol calculation of a geometry-optimized CuAs2Rh2 structure, from Alexandria.

The structure in POSCAR format:
```
CuAs2Rh2
1.0
-3.2174 -1.9564 -0.7193
1.9328 -2.3050 -2.3764
1.7782 -1.3008 5.8001
As Rh Cu
2 2 1
Direct
0.2500 0.7500 0.5000
0.7500 0.2500 0.5000
0.3842 0.3842 0.7685
0.6158 0.6158 0.2315
0.0000 0.0000 0.0000
```

Values from the calculation:
As for the space-group type: No. 139. Its density of states at the Fermi level is 1.956 states/eV/cell.

=====

Record 16
The following is a GGA-PBEsol calculation of a geometry-optimized CuAs2Rh structure, from Alexandria.

The structure in POSCAR format:
```
CuAs2Rh
1.0
-1.9044 -2.4336 -1.4326
2.8580 -0.4868 -2.9723
1.4385 -1.3984 4.5123
As Cu Rh
2 1 1
Direct
0.0077 0.0077 0.0155
0.2444 0.7444 0.4888
0.5061 0.5061 0.0121
0.7418 0.2418 0.4836
```

Values from the calculation:
As for the space-group type: No. 44. Its density of states at the Fermi level is 1.705 states/eV/cell.

=====

Record 17
The following is a GGA-PBEsol calculation of a geometry-optimized Cu3AsRh structure, from Alexandria.

The structure in POSCAR format:
```
Cu3AsRh
1.0
4.3124 0.0000 0.0000
0.0000 4.3124 0.0000
0.0000 0.0000 4.3124
As Rh Cu
1 1 3
Direct
0.0000 0.0000 0.0000
0.5000 0.5000 0.5000
0.0000 0.5000 0.0000
0.0000 0.0000 0.5000
0.5000 0.0000 0.0000
```

Values from the calculation:
As for the space-group type: No. 221. Its density of states at the Fermi level is 6.504 states/eV/cell.

=====

Record 18
The following is a GGA-PBEsol calculation of a geometry-optimized CuAs2Rh structure, from Alexandria.

The structure in POSCAR format:
```
CuAs2Rh
1.0
3.0415 0.0000 0.0000
1.5208 2.6340 0.0000
1.5208 0.8780 7.4385
As Cu Rh
2 1 1
Direct
0.2504 0.2504 0.2488
0.7496 0.7496 0.7512
0.5000 0.5000 0.5000
0.0000 0.0000 0.0000
```

Values from the calculation:
As for the space-group type: No. 166. Its density of states at the Fermi level is 1.456 states/eV/cell.

=====

Record 19
The following is a GGA-PBEsol calculation of a geometry-optimized CuAs3Rh structure, from Alexandria.

The structure in POSCAR format:
```
CuAs3Rh
1.0
4.7164 0.0000 0.0000
0.0000 4.7164 0.0000
0.0000 0.0000 4.7164
As Rh Cu
3 1 1
Direct
0.0000 0.5000 0.0000
0.0000 0.0000 0.5000
0.5000 0.0000 0.0000
0.0000 0.0000 0.0000
0.5000 0.5000 0.5000
```

Values from the calculation:
As for the space-group type: No. 221. Its density of states at the Fermi level is 3.440 states/eV/cell.

=====

Record 20
The following is a GGA-PBEsol calculation of a geometry-optimized CuAs2Rh structure, from Alexandria.

The structure in POSCAR format:
```
CuAs2Rh
1.0
3.1413 0.0000 0.0731
0.0000 3.1347 0.0000
-0.1321 0.0000 5.9895
As Cu Rh
2 1 1
Direct
0.9992 0.0000 0.7432
0.0008 0.0000 0.2568
0.5000 0.5000 0.0000
0.5000 0.5000 0.5000
```

Values from the calculation:
As for the space-group type: No. 10. Its density of states at the Fermi level is 1.896 states/eV/cell.

=====

Record 21
The following is a GGA-PBEsol calculation of a geometry-optimized CuAsRhW2 structure, from Alexandria.

The structure in POSCAR format:
```
CuAsRhW2
1.0
4.4168 0.0000 0.0000
0.0000 4.5489 0.0000
0.0000 0.0000 4.5489
As Rh Cu W
1 1 1 2
Direct
0.0000 0.0000 0.0000
0.5000 0.0000 0.0000
0.5000 0.5000 0.5000
0.0000 0.0000 0.5000
0.0000 0.5000 0.0000
```

Values from the calculation:
As for the space-group type: No. 123. Its density of states at the Fermi level is 4.813 states/eV/cell.

=====

Record 22
The following is a GGA-PBEsol calculation of a geometry-optimized CuAsRu structure, from Alexandria.

The structure in POSCAR format:
```
CuAsRu
1.0
-3.7423 1.3315 0.6712
-2.7735 -2.4799 1.5447
-1.3010 0.5344 3.7749
As Cu Ru
1 1 1
Direct
0.0000 0.0000 0.0000
0.5000 0.5000 0.5000
0.2500 0.2500 0.2500
```

Values from the calculation:
As for the space-group type: No. 216. Its density of states at the Fermi level is 1.657 states/eV/cell.

=====

Record 23
The following is a GGA-PBEsol calculation of a geometry-optimized Cu3AsS4 structure, from Alexandria.

The structure in POSCAR format:
```
Cu3AsS4
1.0
5.2241 0.0000 0.0000
0.0000 5.2241 0.0000
0.0000 0.0000 5.2241
Cu As S
3 1 4
Direct
0.0000 0.5000 0.5000
0.5000 0.5000 0.0000
0.5000 0.0000 0.5000
0.0000 0.0000 0.0000
0.2562 0.7438 0.7438
0.7438 0.7438 0.2562
0.7438 0.2562 0.7438
0.2562 0.2562 0.2562
```

Values from the calculation:
As for the space-group type: No. 215. Its density of states at the Fermi level is 2.379 states/eV/cell.

=====

Record 24
The following is a GGA-PBEsol calculation of a geometry-optimized CuAsS structure, from Alexandria.

The structure in POSCAR format:
```
CuAsS
1.0
3.7525 0.0000 0.0000
0.0000 5.3592 0.0000
0.0000 0.0000 11.2540
Cu As S
4 4 4
Direct
0.2500 0.4366 0.3246
0.7500 0.9366 0.1754
0.7500 0.5634 0.6754
0.2500 0.0634 0.8246
0.7500 0.6526 0.0148
0.2500 0.1526 0.4852
0.7500 0.8474 0.5148
0.2500 0.3474 0.9852
0.7500 0.8291 0.8304
0.7500 0.6709 0.3304
0.2500 0.1709 0.1696
0.2500 0.3291 0.6696
```

Values from the calculation:
As for the space-group type: No. 62. Its density of states at the Fermi level is 0.731 states/eV/cell.

=====

Record 25
The following is a GGA-PBEsol calculation of a geometry-optimized Cu12Sb3AsS16 structure, from Alexandria.

The structure in POSCAR format:
```
Cu12Sb3AsS16
1.0
6.4856 -0.0117 0.0000
-2.1351 6.1241 0.0000
0.0000 0.0000 15.0080
Cu Sb As S
12 3 1 16
Direct
0.9999 0.0001 0.0000
0.5007 0.4993 0.7441
0.9990 0.0010 0.5000
0.5007 0.4993 0.2559
0.9983 0.4985 0.8740
0.5023 0.0019 0.6213
0.9981 0.4977 0.3787
0.5015 0.0017 0.1260
0.5015 0.0017 0.8740
0.9981 0.4977 0.6213
0.5023 0.0019 0.3787
0.9983 0.4985 0.1260
0.9998 0.0002 0.2505
0.4998 0.5002 0.0000
0.9998 0.0002 0.7495
0.5008 0.4992 0.5000
0.1339 0.8661 0.6167
0.6298 0.3702 0.3760
0.1337 0.8663 0.1170
0.6313 0.3687 0.8640
0.1339 0.8661 0.3833
0.6313 0.3687 0.1360
0.1337 0.8663 0.8830
0.6298 0.3702 0.6240
0.1311 0.4005 0.2522
0.6320 0.9021 0.0000
0.1311 0.4005 0.7478
0.6297 0.8790 0.5000
0.5995 0.8689 0.2522
0.0979 0.3680 0.0000
0.5995 0.8689 0.7478
0.1210 0.3703 0.5000
```

Values from the calculation:
As for the space-group type: No. 38. Its density of states at the Fermi level is 7.415 states/eV/cell.

=====

Record 26
The following is a GGA-PBEsol calculation of a geometry-optimized CuAsSe2S structure, from Alexandria.

The structure in POSCAR format:
```
CuAsSe2S
1.0
-0.6282 -2.9120 -3.5133
1.8491 -3.4047 2.4914
-4.2563 -1.0922 1.6663
S As Cu Se
1 1 1 2
Direct
0.5000 0.5000 0.5000
0.0000 0.0000 0.5000
0.0000 0.0000 0.0000
0.0000 0.5000 0.0000
0.5000 0.0000 0.0000
```

Values from the calculation:
As for the space-group type: No. 123. Its density of states at the Fermi level is 4.634 states/eV/cell.

=====

| no. | raw total energy (eV per atom) |
| --- | --- |
| 1 | -4.27 |
| 2 | -4.52 |
| 3 | -4.56 |
| 4 | -4.23 |
| 5 | -4.41 |
| 6 | -5.25 |
| 7 | -4.75 |
| 8 | -5.06 |
| 9 | -5.30 |
| 10 | -3.97 |
| 11 | -4.82 |
| 12 | -6.57 |
| 13 | -7.68 |
| 14 | -6.59 |
| 15 | -6.02 |
| 16 | -5.63 |
| 17 | -4.45 |
| 18 | -5.75 |
| 19 | -4.81 |
| 20 | -5.70 |
| 21 | -7.51 |
| 22 | -6.39 |
| 23 | -4.68 |
| 24 | -4.79 |
| 25 | -4.65 |
| 26 | -3.57 |